The following is a DFT calculation (PBE) of a geometry-optimized Ba2Zn3SnAu4 structure.

abc: 4.779 4.779 10.641
angles: 90.00 90.00 90.00
Positions (direct):
Ba 0.000 0.500 0.241
Ba 0.500 0.000 0.759
Zn 0.000 0.500 0.884
Zn 0.500 0.000 0.116
Zn 0.500 0.500 0.500
Sn 0.000 0.000 0.500
Au 0.000 0.000 0.000
Au 0.000 0.500 0.636
Au 0.500 0.000 0.364
Au 0.500 0.500 0.000

Properties
Total magnetization (μB per formula unit): 0.0
Symmetry: P-4m2
Calculated formation energy (eV per atom): -0.518

***

The following is a DFT calculation (PBE) of a geometry-optimized TcAgHgTe2 structure.

abc: 5.504 5.504 5.153
angles: 90.00 90.00 90.00
Positions (direct):
Tc 0.000 0.000 0.000
Ag 0.500 0.500 0.500
Hg 0.500 0.500 0.000
Te 0.000 0.500 0.500
Te 0.500 0.000 0.500

Properties
Total magnetization (μB per formula unit): 4.5
Raw total energy (eV per formula unit): -14.40
Symmetry: P4/mmm

***

The following is a DFT calculation (PBE) of a geometry-optimized HfMgW3 structure.

abc: 4.603 4.603 4.603
angles: 90.00 90.00 90.00
Positions (direct):
Hf 0.000 0.000 0.000
Mg 0.500 0.500 0.500
W 0.000 0.500 0.500
W 0.500 0.000 0.500
W 0.500 0.500 0.000

Properties
Total magnetization (μB per formula unit): 0.0
Energy above the most stable polymorph in this dataset (eV per formula unit): 0.00
Symmetry: Pm-3m
Calculated formation energy (eV per atom): 2.077